# GGA-PBE LaBe2Hg, relaxed
# - volume (Å³/cell) = 87.6
# - total magnetic moment (μB per atom) = 0.005
# - calculated formation energy (meV/atom) = 167
# - mass density (Mg/m³) = 6.8
data_LaBe2Hg
_chemical_formula_sum 'La1 Be2 Hg1'
_cell_length_a 4.229
_cell_length_b 4.476
_cell_length_c 4.629
_cell_angle_alpha 90.00
_cell_angle_beta 90.00
_cell_angle_gamma 90.00
_space_group_name_H-M_alt 'P m m m'
_space_group_IT_number 47
loop_
_space_group_symop_operation_xyz
'x,y,z'
'-x,-y,-z'
'-x,-y,z'
'x,y,-z'
'x,-y,-z'
'-x,y,z'
'-x,y,-z'
'x,-y,z'
loop_
_atom_site_label
_atom_site_type_symbol
_atom_site_fract_x
_atom_site_fract_y
_atom_site_fract_z
_atom_site_occupancy
La1 La 0.000 0.000 0.000 1
Be1 Be 0.500 0.245 0.500 1
Hg1 Hg 0.000 0.500 0.500 1



# GGA-PBE Ta2BeZn, relaxed
# - volume (Å³/cell) = 238.0
# - offset from the most stable computed form (eV per atom) = 0.2232
# - total magnetic moment (μB per atom) = 0.000
# - calculated formation energy (meV/atom) = 216
# - mass density (Mg/m³) = 12.2
data_Ta2BeZn
_chemical_formula_sum 'Ta8 Be4 Zn4'
_cell_length_a 6.197
_cell_length_b 6.197
_cell_length_c 6.197
_cell_angle_alpha 90.00
_cell_angle_beta 90.00
_cell_angle_gamma 90.00
_space_group_name_H-M_alt 'F m -3 m'
_space_group_IT_number 225
_space_group_name_Hall '-F 4 2 3'
loop_
_atom_site_label
_atom_site_type_symbol
_atom_site_fract_x
_atom_site_fract_y
_atom_site_fract_z
_atom_site_occupancy
Ta1 Ta 0.250 0.250 0.250 1
Be1 Be 0.000 0.000 0.000 1
Zn1 Zn 0.000 0.000 0.500 1



# GGA-PBE KTlHgRh2, relaxed
# - volume (Å³/cell) = 147.5
# - total magnetic moment (μB per atom) = 0.000
# - calculated formation energy (meV/atom) = 919
# - mass density (Mg/m³) = 7.3
data_KTlHgRh2
_chemical_formula_sum 'K1 Tl1 Hg1 Rh2'
_cell_length_a 5.117
_cell_length_b 5.117
_cell_length_c 5.632
_cell_angle_alpha 90.00
_cell_angle_beta 90.00
_cell_angle_gamma 90.00
_space_group_name_H-M_alt 'P 4/m m m'
_space_group_IT_number 123
_space_group_name_Hall '-P 4 2'
loop_
_atom_site_label
_atom_site_type_symbol
_atom_site_fract_x
_atom_site_fract_y
_atom_site_fract_z
_atom_site_occupancy
K1 K 0.000 0.000 0.000 1
Tl1 Tl 0.500 0.500 0.000 1
Hg1 Hg 0.000 0.000 0.500 1
Rh1 Rh 0.000 0.500 0.500 1



Q: Which of these has the lowest calculated formation energy?
A: LaBe2Hg



Q: Among the records above, which one has the lowest mass density?
A: LaBe2Hg